(1)
The following is a DFT calculation (GGA-PBE) of a geometry-optimized CdGaSn structure.

Results
Calculated total energy = -2.5395 eV per atom
Crystal system = cubic

a b c (Å): 4.8574 4.8574 4.8574
angles (deg): 60.00 60.00 60.00
Closest atoms and distances in Å follow each position.
Fractional positions:
Cd 0.0000 0.0000 0.0000  4 Sn 2.97
Ga 0.5000 0.5000 0.5000  4 Sn 2.97
Sn 0.2500 0.2500 0.2500  4 Cd 2.97, 4 Ga 2.97



(2)
The following is a DFT calculation (GGA-PBE) of a geometry-optimized ScCuNiGe structure.

Results
Calculated total energy = -5.5118 eV per atom
Crystal system = cubic
ΔE to the lowest computed polymorph = 0.00 eV per formula unit
Total moment = 0.00 Bohr magnetons per cell

a b c (Å): 4.3135 4.3135 4.3135
angles (deg): 60.00 60.00 60.00
Closest atoms and distances in Å follow each position.
Fractional positions:
Sc 0.0000 0.0000 0.0000  4 Ni 2.64, 4 Cu 2.64
Cu 0.2500 0.2500 0.2500  4 Ge 2.64, 4 Sc 2.64
Ni 0.7500 0.7500 0.7500  4 Sc 2.64, 4 Ge 2.64
Ge 0.5000 0.5000 0.5000  4 Ni 2.64, 4 Cu 2.64



(3)
The following is a DFT calculation (GGA-PBE) of a geometry-optimized U2Fe2C3 structure.

Results
Calculated total energy = -9.7078 eV per atom
Crystal system = monoclinic
Total moment = 0.02 Bohr magnetons per cell

a b c (Å): 5.9179 5.9179 5.1533
angles (deg): 115.21 115.21 30.53
Closest atoms and distances in Å follow each position.
Fractional positions:
U 0.0910 0.0910 0.2716  5 C 2.36-2.47
U 0.9090 0.9090 0.7284  5 C 2.36-2.47
Fe 0.3338 0.3338 0.1750  4 C 1.90-1.92
Fe 0.6662 0.6662 0.8250  4 C 1.90-1.92
C 0.2484 0.2484 0.7595  3 Fe 1.92
C 0.5000 0.5000 0.5000  2 Fe 1.90
C 0.7516 0.7516 0.2405  3 Fe 1.92



(4)
The following is a DFT calculation (GGA-PBE) of a geometry-optimized NaYNiGe structure.

Results
Calculated total energy = -4.6089 eV per atom
Crystal system = cubic
ΔE to the lowest computed polymorph = 0.46 eV per formula unit
Total moment = 0.00 Bohr magnetons per cell

a b c (Å): 4.7086 4.7086 4.7086
angles (deg): 60.00 60.00 60.00
Closest atoms and distances in Å follow each position.
Fractional positions:
Na 0.0000 0.0000 0.0000  4 Ni 2.88, 4 Y 2.88
Y 0.7500 0.7500 0.7500  4 Ge 2.88, 4 Na 2.88
Ni 0.2500 0.2500 0.2500  4 Ge 2.88, 4 Na 2.88
Ge 0.5000 0.5000 0.5000  4 Ni 2.88, 4 Y 2.88



(5)
The following is a DFT calculation (GGA-PBE) of a geometry-optimized Pr3NdDy2Te2Pd structure.

Results
Calculated total energy = -5.2686 eV per atom
Crystal system = orthorhombic
Total moment = 0.00 Bohr magnetons per cell

a b c (Å): 4.0701 8.6590 8.6590
angles (deg): 120.51 90.00 90.00
Closest atoms and distances in Å follow each position.
Fractional positions:
Pr 0.0000 0.0000 0.0000  4 Te 3.35, 1 Pd 3.38, 2 Nd 3.60, 4 Dy 3.67
Pr 0.0000 0.1836 0.5914  4 Te 3.29-3.31, 1 Pd 3.60, 4 Dy 3.65-3.68
Pr 0.0000 0.5914 0.1836  4 Te 3.29-3.31, 1 Pd 3.60, 4 Dy 3.65-3.68
Nd 0.5000 0.3460 0.3460  2 Pd 3.03, 2 Te 3.36
Dy 0.5000 0.5927 0.8348  2 Pd 2.88
Dy 0.5000 0.8348 0.5927  2 Pd 2.88
Te 0.5000 0.2594 0.9214  6 Pr 3.29-3.35, 2 Dy 3.32-3.33, 1 Nd 3.36
Te 0.5000 0.9214 0.2594  6 Pr 3.29-3.35, 2 Dy 3.32-3.33, 1 Nd 3.36
Pd 0.0000 0.6070 0.6070  4 Dy 2.88, 2 Nd 3.03



(6)
The following is a DFT calculation (GGA-PBE) of a geometry-optimized Gd2TmSn3Ir2Pd structure.

Results
Calculated total energy = -6.2687 eV per atom
Crystal system = orthorhombic
Total moment = 0.00 Bohr magnetons per cell

a b c (Å): 3.9428 7.5343 7.5343
angles (deg): 119.79 90.00 90.00
Closest atoms and distances in Å follow each position.
Fractional positions:
Gd 0.0000 0.2052 0.7948  4 Ir 3.03, 1 Pd 3.11, 6 Sn 3.15-3.37
Gd 0.0000 0.7948 0.2052  4 Ir 3.03, 1 Pd 3.11, 6 Sn 3.15-3.37
Tm 0.0000 0.6163 0.6163  4 Ir 2.99, 1 Pd 3.08, 2 Sn 3.16
Sn 0.5000 0.2064 0.4689  2 Pd 2.79, 2 Ir 2.81-2.85
Sn 0.5000 0.4689 0.2064  2 Pd 2.79, 2 Ir 2.81-2.85
Sn 0.5000 0.9427 0.9427  2 Ir 2.80, 2 Pd 2.82
Ir 0.5000 0.5405 0.8689  3 Sn 2.80-2.85, 2 Tm 2.99, 4 Gd 3.03
Ir 0.5000 0.8689 0.5405  3 Sn 2.80-2.85, 2 Tm 2.99, 4 Gd 3.03
Pd 0.0000 0.2090 0.2090  6 Sn 2.79-2.82, 1 Tm 3.08, 2 Gd 3.11



(7)
The following is a DFT calculation (GGA-PBE) of a geometry-optimized MgCdTeSe structure.

Results
Calculated total energy = -3.0611 eV per atom
Crystal system = orthorhombic
ΔE to the lowest computed polymorph = 0.03 eV per formula unit

a b c (Å): 7.7033 7.7033 7.7033
angles (deg): 131.67 131.59 70.81
Closest atoms and distances in Å follow each position.
Fractional positions:
Mg 0.1126 0.3626 0.7500  2 Se 2.61, 2 Te 2.78
Mg 0.3874 0.1374 0.2500  2 Se 2.61, 2 Te 2.78
Cd 0.6184 0.8684 0.7500  2 Se 2.72, 2 Te 2.82
Cd 0.8816 0.6316 0.2500  2 Se 2.72, 2 Te 2.82
Te 0.0126 0.2500 0.2626  2 Mg 2.78, 2 Cd 2.82
Te 0.4874 0.7500 0.2374  2 Mg 2.78, 2 Cd 2.82
Se 0.2500 0.0095 0.7595  2 Mg 2.61, 2 Cd 2.72
Se 0.7500 0.4905 0.7405  2 Mg 2.61, 2 Cd 2.72



(8)
The following is a DFT calculation (GGA-PBE) of a geometry-optimized TbHo2Ga3FeGe2 structure.

Results
Calculated total energy = -5.1351 eV per atom
Crystal system = orthorhombic
Total moment = 0.00 Bohr magnetons per cell

a b c (Å): 4.1397 6.9599 6.9599
angles (deg): 120.11 90.00 90.00
Closest atoms and distances in Å follow each position.
Fractional positions:
Tb 0.0000 0.0000 0.0000  1 Fe 2.79, 4 Ge 2.97
Ho 0.0000 0.2006 0.5999  1 Fe 2.78, 4 Ge 2.96
Ho 0.0000 0.5999 0.2006  1 Fe 2.78, 4 Ge 2.96
Ga 0.5000 0.3733 0.3733  2 Fe 2.60, 2 Ga 2.73, 2 Ge 2.77
Ga 0.5000 0.5991 0.8264  2 Fe 2.61, 2 Ga 2.73-2.74, 2 Ge 2.75-2.77
Ga 0.5000 0.8264 0.5991  2 Fe 2.61, 2 Ga 2.73-2.74, 2 Ge 2.75-2.77
Fe 0.0000 0.5989 0.5989  6 Ga 2.60-2.61, 2 Ho 2.78, 1 Tb 2.79
Ge 0.5000 0.2674 0.9326  3 Ga 2.75-2.77, 4 Ho 2.96, 2 Tb 2.97
Ge 0.5000 0.9326 0.2674  3 Ga 2.75-2.77, 4 Ho 2.96, 2 Tb 2.97